1.
Density functional theory data (PBE-GGA) for an optimized crystal structure of Sm6Tm12Sc.

Structure (extended XYZ):
```
19
Lattice="9.235 -1.830 -2.635 -2.938 8.944 -2.635 -1.619 -1.830 9.466" Properties=species:S:1:pos:R:3 pbc="T T T"
Sc 0.000 0.000 0.000
Tm 2.848 -1.522 6.775
Tm 6.534 2.642 -2.580
Tm -1.857 2.642 6.775
Tm 4.701 5.312 -3.278
Tm 7.044 -1.522 2.098
Tm -2.750 5.312 5.029
Tm -0.929 7.369 -0.833
Tm -0.024 -0.027 7.474
Tm 7.427 -0.027 -0.833
Tm 1.829 6.807 -2.580
Tm 5.606 -2.084 5.029
Tm -2.366 6.807 2.098
Sm 0.600 4.538 0.538
Sm 4.078 0.747 3.658
Sm 0.246 4.138 3.658
Sm 1.015 1.146 4.347
Sm 4.431 1.146 0.538
Sm 3.663 4.138 -0.152
```

* crystal system: trigonal
* ΔE_f: 355 meV per atom
* Fermi-level density of states: 24.6 states/eV/f.u.


2.
Density functional theory data (PBE-GGA) for an optimized crystal structure of PmLuSi2.

Structure (extended XYZ):
```
4
Lattice="3.728 0.000 0.000 0.000 3.728 0.000 0.000 0.000 6.315" Properties=species:S:1:pos:R:3 pbc="T T T"
Lu 1.864 1.864 3.157
Pm 1.864 1.864 0.000
Si 0.000 0.000 1.903
Si 0.000 0.000 4.412
```

* crystal system: tetragonal
* uncorrected formation energy: -496.8 meV/atom
* Fermi-level density of states: 2.7 states/eV/f.u.


3.
Density functional theory data (PBE-GGA) for an optimized crystal structure of TiVSb3.

Structure (extended XYZ):
```
5
Lattice="-0.360 -1.837 4.759 -0.537 -4.731 -1.866 5.073 -0.631 0.141" Properties=species:S:1:pos:R:3 pbc="T T T"
Sb -0.269 -2.365 -0.933
Sb 2.536 -0.316 0.070
Sb -0.180 -0.918 2.379
V 0.000 0.000 0.000
Ti 2.087 -3.599 1.517
```

* crystal system: cubic
* uncorrected formation energy: 605.0 meV/atom
* Fermi-level density of states: 7.1 states/eV/f.u.


4.
Density functional theory data (PBE-GGA) for an optimized crystal structure of BaLaSe2.

Structure (extended XYZ):
```
4
Lattice="8.273 -0.007 -0.002 6.260 5.409 0.002 -7.243 -2.762 2.888" Properties=species:S:1:pos:R:3 pbc="T T T"
Se 4.619 0.141 1.443
Se 0.833 0.310 0.000
Ba 6.627 2.464 0.000
La 2.476 2.426 1.445
```

* crystal system: orthorhombic
* uncorrected formation energy: -1800.5 meV/atom
* Fermi-level density of states: 2.6 states/eV/f.u.


5.
Density functional theory data (PBE-GGA) for an optimized crystal structure of AcPrTe2Au.

Structure (extended XYZ):
```
10
Lattice="-2.069 -3.111 2.671 -2.514 -1.401 -3.579 10.843 -10.292 -3.589" Properties=species:S:1:pos:R:3 pbc="T T T"
Pr 2.644 -4.403 -3.081
Pr 5.908 -8.145 -0.962
Te 2.354 -4.772 0.214
Te 6.197 -7.777 -4.257
Te 8.413 -10.523 -1.791
Te 0.139 -2.026 -2.252
Au 5.422 -5.146 -1.795
Au 3.130 -7.402 -2.248
Ac 0.010 -2.547 0.990
Ac 8.541 -10.001 -5.033
```

* crystal system: tetragonal
* uncorrected formation energy: -1221.2 meV/atom
* Fermi-level density of states: 1.6 states/eV/f.u.


6.
Density functional theory data (PBE-GGA) for an optimized crystal structure of Sm2AlBr.

Structure (extended XYZ):
```
4
Lattice="3.499 0.000 0.000 0.000 3.499 0.000 0.000 0.000 8.478" Properties=species:S:1:pos:R:3 pbc="T T T"
Br 1.749 1.749 4.239
Sm 0.000 0.000 6.539
Sm 0.000 0.000 1.939
Al 1.749 1.749 0.000
```

* crystal system: tetragonal
* uncorrected formation energy: -709.5 meV/atom
* Fermi-level density of states: 2.6 states/eV/f.u.


Number 1: VASP energy -81.56 eV per cell. Number 2: VASP energy -22.10 eV per cell. Number 3: VASP energy -26.36 eV per cell. Number 4: VASP energy -21.02 eV per cell. Number 5: VASP energy -49.11 eV per cell. Number 6: VASP energy -17.69 eV per cell.